First-principles (PBE) data for Y2PbO after structural relaxation, as listed in Alexandria.

Values from the calculation:
For the uncorrected energy, the calculation gives -6.085 eV/atom. The density comes out at 7.2 Mg/m³. As for the spin magnetization: 0.000 μB/f.u. The distance to the lowest polymorph of the same formula comes out at 1.1060 eV per atom. As for the volume: 93 Å³/cell. Its symmetry is Fm-3m.

Unit cell a=5.0765 b=5.0765 c=5.0765 alpha=60.00 beta=60.00 gamma=60.00
Sites, in units of the cell vectors:
Y 0.2500 0.2500 0.2500
Y 0.7500 0.7500 0.7500
Pb 0.0000 0.0000 0.0000
O 0.5000 0.5000 0.5000

First-principles (PBE) data for Y2PbO2 after structural relaxation, as listed in Alexandria.

Values from the calculation:
For the uncorrected energy, the calculation gives -7.837 eV/atom. The density comes out at 6.5 Mg/m³. As for the spin magnetization: 0.000 μB/f.u. As for the volume: 106 Å³/cell. Its symmetry is I4/mmm.

Unit cell a=7.6369 b=7.6369 c=7.6369 alpha=150.75 beta=150.75 gamma=41.84
Sites, in units of the cell vectors:
Y 0.1712 0.1712 0.0000
Y 0.8288 0.8288 0.0000
Pb 0.5000 0.5000 0.0000
O 0.2500 0.7500 0.5000
O 0.7500 0.2500 0.5000